1.
DFT (PBE) results for a relaxed HoTm4Hg crystal.

uncorrected energy: -0.1446 hartree per atom
volume: 28.63 A^3/atom
energy of formation: -13.63 kJ per mole of atoms
space group: P4/mmm

Cell lengths 3.5160, 3.5160, 13.8952 Å; angles 90.00, 90.00, 90.00 degrees
With the nearest neighbours (Å) after each atom.
Sites, in units of the cell vectors:
1 Ho 0.0000 0.0000 0.0000  8 Tm 3.50, 4 Ho 3.52
2 Tm 0.0000 0.0000 0.3554  4 Hg 3.20, 8 Tm 3.51-3.52
3 Tm 0.0000 0.0000 0.6446  4 Hg 3.20, 8 Tm 3.51-3.52
4 Tm 0.5000 0.5000 0.1770  4 Ho 3.50, 8 Tm 3.51-3.52
5 Tm 0.5000 0.5000 0.8230  4 Ho 3.50, 8 Tm 3.51-3.52
6 Hg 0.5000 0.5000 0.5000  8 Tm 3.20, 4 Hg 3.52


2.
DFT (PBE) results for a relaxed Ho3Tm2Hg2 crystal.

uncorrected energy: -0.1309 hartree per atom
volume: 27.24 A^3/atom
energy of formation: -22.72 kJ per mole of atoms
space group: R-3m

Cell lengths 8.4213, 8.4213, 8.4213 Å; angles 36.66, 36.66, 36.66 degrees
With the nearest neighbours (Å) after each atom.
Sites, in units of the cell vectors:
1 Ho 0.0000 0.0000 0.0000  6 Hg 3.25
2 Ho 0.1576 0.1576 0.1576  1 Hg 3.04, 3 Ho 3.09
3 Ho 0.8424 0.8424 0.8424  1 Hg 3.04, 3 Ho 3.09
4 Tm 0.4253 0.4253 0.4253  4 Hg 3.24-3.26, 3 Ho 3.43, 1 Tm 3.52
5 Tm 0.5747 0.5747 0.5747  4 Hg 3.24-3.26, 3 Ho 3.43, 1 Tm 3.52
6 Hg 0.2869 0.2869 0.2869  4 Ho 3.04-3.25, 4 Tm 3.24-3.26
7 Hg 0.7131 0.7131 0.7131  4 Ho 3.04-3.25, 4 Tm 3.24-3.26


3.
DFT (PBE) results for a relaxed Ho3TmHg3 crystal.

uncorrected energy: -0.1104 hartree per atom
volume: 26.96 A^3/atom
energy of formation: -26.35 kJ per mole of atoms
space group: P6_3/m

Cell lengths 9.2030, 9.2030, 5.1458 Å; angles 90.00, 90.00, 120.00 degrees
With the nearest neighbours (Å) after each atom.
Sites, in units of the cell vectors:
1 Ho 0.0091 0.7649 0.2500  4 Hg 3.03-3.20, 4 Ho 3.39
2 Ho 0.2351 0.2441 0.2500  4 Hg 3.03-3.20, 4 Ho 3.39
3 Ho 0.2441 0.0091 0.7500  4 Hg 3.03-3.20, 4 Ho 3.39
4 Ho 0.7559 0.9909 0.2500  4 Hg 3.03-3.20, 4 Ho 3.39
5 Ho 0.7649 0.7559 0.7500  4 Hg 3.03-3.20, 4 Ho 3.39
6 Ho 0.9909 0.2351 0.7500  4 Hg 3.03-3.20, 4 Ho 3.39
7 Tm 0.3333 0.6667 0.7500  9 Hg 3.16-3.51
8 Tm 0.6667 0.3333 0.2500  9 Hg 3.16-3.51
9 Hg 0.0505 0.4392 0.2500  4 Ho 3.03-3.20, 2 Hg 3.13, 1 Tm 3.16
10 Hg 0.3888 0.9495 0.2500  4 Ho 3.03-3.20, 2 Hg 3.13, 1 Tm 3.16
11 Hg 0.4392 0.3888 0.7500  4 Ho 3.03-3.20, 2 Hg 3.13, 1 Tm 3.16
12 Hg 0.5608 0.6112 0.2500  4 Ho 3.03-3.20, 2 Hg 3.13, 1 Tm 3.16
13 Hg 0.6112 0.0505 0.7500  4 Ho 3.03-3.20, 2 Hg 3.13, 1 Tm 3.16
14 Hg 0.9495 0.5608 0.7500  4 Ho 3.03-3.20, 2 Hg 3.13, 1 Tm 3.16


Computed values of total magnetization (unit: μB/f.u.) for the preceding records, in sequence: 0.0, 0.0, 0.0.